Entry 1:
Here is crystalline Pr2Ho6Pu at its relaxed geometry from the Alexandria database. Energies are from PBE.

Unit cell a=6.626 b=10.023 c=10.118 alpha=60.35 beta=84.69 gamma=79.25
Space group P-1 (No. 2)
Asymmetric unit:
Pr1 0.082 0.152 0.058
Pr2 0.418 0.789 0.058
Ho1 0.012 0.790 0.330
Ho2 0.156 0.493 0.714
Ho3 0.166 0.144 0.399
Ho4 0.334 0.457 0.399
Ho5 0.344 0.793 0.714
Ho6 0.489 0.881 0.329
Pu1 0.250 0.474 0.051

Properties
**Calculated volume**: 573.76 Å³ per cell
**ΔE_f**: 0.90 eV per formula unit

---

Entry 2:
Here is crystalline TaFeH at its relaxed geometry from the Alexandria database. Energies are from PBE.

Unit cell a=9.677 b=2.992 c=4.597 alpha=90.00 beta=108.84 gamma=90.00
Space group C2/m (No. 12)
Asymmetric unit:
Ta1 0.112 0.000 0.330
Fe1 0.123 0.500 0.836
H1 0.242 0.500 0.228

Properties
**Calculated volume**: 125.94 Å³ per cell
**E above lowest polymorph**: 0.0512 eV/atom

---

Entry 3:
Here is crystalline AcPrSnRh at its relaxed geometry from the Alexandria database. Energies are from PBE.

Unit cell a=7.691 b=7.691 c=7.691 alpha=90.00 beta=90.00 gamma=90.00
Space group F-43m (No. 216)
Asymmetric unit:
Ac1 0.000 0.000 0.000
Pr1 0.000 0.000 0.500
Sn1 0.250 0.250 0.250
Rh1 0.250 0.250 0.750

Properties
**Calculated volume**: 454.97 Å³ per cell
**ΔE_f**: -1.87 eV per formula unit

---

Entry 4:
Here is crystalline Li12Tl2Hg at its relaxed geometry from the Alexandria database. Energies are from PBE.

Unit cell a=5.504 b=5.504 c=20.635 alpha=90.00 beta=90.00 gamma=90.00
Space group P4/nbm (No. 125, origin choice 2)
Asymmetric unit:
Li1 0.000 0.000 0.096
Li2 0.070 0.570 0.440
Li3 0.250 0.250 0.208
Li4 0.250 0.250 0.338
Tl1 0.250 0.750 0.284
Hg1 0.250 0.750 0.000

Properties
**Calculated volume**: 625.02 Å³ per cell
**ΔE_f**: -0.34 eV per formula unit

---

Entry 5:
Here is crystalline CaDyPb2 at its relaxed geometry from the Alexandria database. Energies are from PBE.

Unit cell a=3.7810 b=3.7810 c=29.6756 alpha=90.00 beta=90.00 gamma=120.00
Space group R-3m (No. 166, hexagonal axes)
Asymmetric unit:
Ca1 0.0000 0.0000 0.0000
Dy1 0.0000 0.0000 0.5000
Pb1 0.0000 0.0000 0.2493

Properties
**Calculated volume**: 367.40 Å³ per cell
**ΔE_f**: -1.52 eV per formula unit

---

Entry 6:
Here is crystalline LaIrSCl2 at its relaxed geometry from the Alexandria database. Energies are from PBE.

Unit cell a=4.767 b=4.767 c=4.811 alpha=90.00 beta=90.00 gamma=90.00
Space group P4/mmm (No. 123)
Asymmetric unit:
La1 0.000 0.000 0.000
Ir1 0.500 0.500 0.500
S1 0.500 0.500 0.000
Cl1 0.000 0.500 0.500

Properties
**Calculated volume**: 109.33 Å³ per cell
**E above lowest polymorph**: 0.0000 eV/atom
**ΔE_f (raw)**: -0.71 eV/atom

---

How do the records compare in final energy? In the order shown, they have -5.6067, -7.9275, -5.5282, -1.8892, -3.8846, -5.0341 eV per atom.